No. 1
First-principles (GGA-PBE) data for a relaxed structure of CdOs2Br, as listed in the Alexandria database.

For the uncorrected formation energy, the calculation gives 824 meV/atom. As for the crystal system: orthorhombic. The value obtained for the total DFT energy (no corrections) is -21.8 eV/f.u. As for the volume: 76.1 Å³/cell. As for the space group: Cmm2, No. 35.

Unit cell a=2.869 b=2.869 c=10.755 alpha=90.00 beta=90.00 gamma=120.79
Site moments in Bohr magnetons follow the coordinates.
Sites, in units of the cell vectors:
Os 0.000 0.000 0.030  0.26
Os 0.500 0.500 0.226  0.31
Br 0.000 0.000 0.458  0.01
Cd 0.500 0.500 0.786  0.00

---

No. 2
First-principles (GGA-PBE) data for a relaxed structure of La2P2Br, as listed in the Alexandria database.

For the uncorrected formation energy, the calculation gives -1447 meV/atom. As for the crystal system: tetragonal. The value obtained for the total DFT energy (no corrections) is -29.6 eV/f.u. As for the volume: 260.7 Å³/cell. As for the space group: P4/mbm, No. 127.

Unit cell a=8.092 b=8.092 c=3.981 alpha=90.00 beta=90.00 gamma=90.00
Sites, in units of the cell vectors:
Br 0.000 0.000 0.000
P 0.901 0.401 0.500
P 0.599 0.901 0.500
Br 0.500 0.500 0.000
P 0.401 0.099 0.500
La 0.675 0.175 0.000
La 0.825 0.675 0.000
La 0.325 0.825 0.000
La 0.175 0.325 0.000
P 0.099 0.599 0.500

---

No. 3
First-principles (GGA-PBE) data for a relaxed structure of Er3NpAg3Te8, as listed in the Alexandria database.

For the uncorrected formation energy, the calculation gives -764 meV/atom. As for the crystal system: monoclinic. The value obtained for the total DFT energy (no corrections) is -71.8 eV/f.u. As for the volume: 463.4 Å³/cell. As for the space group: C2/m, No. 12.

Unit cell a=8.752 b=8.750 c=8.633 alpha=120.56 beta=90.00 gamma=120.01
Site moments in Bohr magnetons follow the coordinates.
Sites, in units of the cell vectors:
Te 0.748 0.497 0.250  -0.06
Er 0.000 0.500 0.500  0.00
Te 0.252 0.000 0.250  -0.06
Te 0.252 0.000 0.750  -0.06
Te 0.249 0.497 0.247  -0.01
Np 0.000 0.000 0.500  3.52
Te 0.748 0.000 0.750  -0.06
Ag 0.000 0.000 0.000  -0.01
Er 0.500 0.000 0.500  0.00
Te 0.252 0.503 0.750  -0.06
Te 0.751 0.503 0.753  -0.01
Ag 0.500 0.500 0.000  -0.01
Ag 0.000 0.500 0.000  -0.01
Er 0.500 0.500 0.500  0.00
Te 0.748 0.000 0.250  -0.06

---

No. 4
First-principles (GGA-PBE) data for a relaxed structure of HgSbSe2, as listed in the Alexandria database.

For the uncorrected formation energy, the calculation gives 318 meV/atom. As for the crystal system: cubic. The value obtained for the total DFT energy (no corrections) is -10.1 eV/f.u. As for the volume: 94.6 Å³/cell. As for the space group: F-43m, No. 216.

Unit cell a=5.114 b=5.114 c=5.114 alpha=60.00 beta=60.00 gamma=60.00
Sites, in units of the cell vectors:
Se 0.250 0.250 0.250
Hg 0.500 0.500 0.500
Se 0.000 0.000 0.000
Sb 0.750 0.750 0.750

---

No. 5
First-principles (GGA-PBE) data for a relaxed structure of CrTeOs2, as listed in the Alexandria database.

For the uncorrected formation energy, the calculation gives 632 meV/atom. As for the crystal system: orthorhombic. The value obtained for the total DFT energy (no corrections) is -32.7 eV/f.u. As for the volume: 67.9 Å³/cell. As for the space group: Pmm2, No. 25.

Unit cell a=2.929 b=3.788 c=6.118 alpha=90.00 beta=90.00 gamma=90.00
Site moments in Bohr magnetons follow the coordinates.
Sites, in units of the cell vectors:
Cr 0.500 0.500 0.774  2.42
Te 0.000 0.000 0.537  -0.04
Os 0.500 0.500 0.181  0.01
Os 0.000 0.000 0.007  -0.06

---

No. 6
First-principles (GGA-PBE) data for a relaxed structure of Sr3PrTh2Bi6, as listed in the Alexandria database.

The formation energy is -796 meV/atom. As for the crystal system: monoclinic. The value obtained for the total DFT energy (no corrections) is -57.5 eV/f.u. As for the volume: 450.5 Å³/cell. As for the space group: C2/m, No. 12.

Unit cell a=8.157 b=8.157 c=8.279 alpha=99.46 beta=99.46 gamma=120.01
Sites, in units of the cell vectors:
Sr 0.835 0.165 0.500
Sr 0.500 0.500 0.500
Bi 0.740 0.740 0.233
Bi 0.415 0.078 0.233
Th 0.667 0.333 0.000
Bi 0.078 0.415 0.233
Bi 0.922 0.585 0.767
Pr 0.000 0.000 0.000
Bi 0.260 0.260 0.767
Bi 0.585 0.922 0.767
Sr 0.165 0.835 0.500
Th 0.333 0.667 0.000

---

No. 7
First-principles (GGA-PBE) data for a relaxed structure of PmCdAs, as listed in the Alexandria database.

The formation energy is -483 meV/atom. As for the crystal system: tetragonal. The value obtained for the total DFT energy (no corrections) is -11.8 eV/f.u. As for the volume: 76.0 Å³/cell. As for the space group: I4mm, No. 107.

Unit cell a=3.850 b=3.850 c=5.804 alpha=109.37 beta=109.37 gamma=90.00
Sites, in units of the cell vectors:
Pm 0.314 0.314 0.628
Cd 0.008 0.008 0.017
As 0.677 0.677 0.355

---

No. 8
First-principles (GGA-PBE) data for a relaxed structure of Pr6Bi3TePb2, as listed in the Alexandria database.

For the uncorrected formation energy, the calculation gives -901 meV/atom. As for the crystal system: monoclinic. The value obtained for the total DFT energy (no corrections) is -61.7 eV/f.u. As for the volume: 416.9 Å³/cell. As for the space group: C2/m, No. 12.

Unit cell a=4.592 b=9.270 c=10.319 alpha=102.87 beta=102.86 gamma=90.00
Sites, in units of the cell vectors:
Te 0.500 0.000 0.000
Pr 0.666 0.084 0.332
Pb 0.834 0.667 0.667
Pr 0.334 0.916 0.668
Pr 0.001 0.252 0.002
Pb 0.166 0.333 0.333
Bi 0.834 0.166 0.669
Bi 0.500 0.500 0.000
Bi 0.166 0.834 0.331
Pr 0.667 0.583 0.333
Pr 0.333 0.417 0.667
Pr 0.999 0.748 0.998

---

Here are the calculated magnetization numbers, same order: 0.62 0.00 2.98 0.00 2.56 0.00 0.00 0.00 (Bohr magnetons per cell).